The following is a PBE-GGA calculation of an optimized crystal structure of HoOsS2, from Alexandria via LeMat-Bulk.

The structure in POSCAR format:
```
HoOsS2
1.0
3.715 0.000 0.000
1.857 3.217 0.000
1.857 1.072 7.473
S Os Ho
2 1 1
Direct
0.119 0.119 0.644
0.881 0.881 0.356
0.500 0.500 0.500
0.000 0.000 0.000
```

Electronic total energy (eV/atom): -6.266
Symmetry: No. 166



The following is a PBE-GGA calculation of an optimized crystal structure of PrDy6Ho3Sc2, from Alexandria via LeMat-Bulk.

The structure in POSCAR format:
```
PrDy6Ho3Sc2
1.0
-4.374 3.562 -2.234
-0.972 -5.955 0.636
-2.194 2.571 11.125
Pr Dy Ho Sc
1 6 3 2
Direct
0.000 0.000 0.000
0.916 0.580 0.752
0.747 0.747 0.248
0.084 0.420 0.248
0.580 0.916 0.752
0.253 0.253 0.752
0.420 0.084 0.248
0.167 0.833 0.500
0.833 0.167 0.500
0.500 0.500 0.500
0.333 0.667 0.000
0.667 0.333 0.000
```

Symmetry: No. 12
Formation energy from the elements (eV per atom): 0.04



The following is a PBE-GGA calculation of an optimized crystal structure of HoTmSn2, from Alexandria via LeMat-Bulk.

The structure in POSCAR format:
```
HoTmSn2
1.0
-3.990 0.800 -1.790
0.802 -2.874 -3.072
-0.268 -4.472 4.113
Ho Tm Sn
1 1 2
Direct
0.716 0.000 0.971
0.450 0.500 0.438
0.178 0.500 0.895
0.988 0.000 0.514
```

Symmetry: No. 38
Formation energy from the elements (eV per atom): -0.68



The following is a PBE-GGA calculation of an optimized crystal structure of Er4ThMg3, from Alexandria via LeMat-Bulk.

The structure in POSCAR format:
```
Er4ThMg3
1.0
-2.256 -2.113 -1.912
2.829 -1.370 -1.824
1.581 -12.190 11.609
Mg Th Er
3 1 4
Direct
0.500 0.500 0.264
0.500 0.500 0.500
0.500 0.500 0.736
0.500 0.500 0.000
0.000 0.000 0.861
0.000 0.000 0.139
0.000 0.000 0.386
0.000 0.000 0.614
```

Symmetry: No. 123
Formation energy from the elements (eV per atom): -0.05



The following is a PBE-GGA calculation of an optimized crystal structure of TbNd3Ni, from Alexandria via LeMat-Bulk.

The structure in POSCAR format:
```
TbNd3Ni
1.0
-3.725 -1.821 3.576
-0.867 -4.398 -3.143
3.918 -2.705 2.704
Nd Tb Ni
3 1 1
Direct
0.000 0.500 0.000
0.000 0.000 0.500
0.500 0.000 0.000
0.500 0.500 0.500
0.000 0.000 0.000
```

ΔE to the lowest computed polymorph (meV per atom): 189
Symmetry: No. 221
Formation energy from the elements (eV per atom): 0.06



The following is a PBE-GGA calculation of an optimized crystal structure of Mn3GaPd4, from Alexandria via LeMat-Bulk.

The structure in POSCAR format:
```
Mn3GaPd4
1.0
-3.471 0.277 2.144
-0.182 -4.078 0.232
5.591 2.090 4.881
Mn Pd Ga
3 4 1
Direct
0.000 0.500 0.000
0.749 0.249 0.498
0.251 0.751 0.502
0.378 0.378 0.756
0.622 0.622 0.244
0.122 0.122 0.244
0.878 0.878 0.756
0.500 0.000 0.000
```

Symmetry: No. 12
Formation energy from the elements (eV per atom): -0.33



The following is a PBE-GGA calculation of an optimized crystal structure of LiRe2Mo, from Alexandria via LeMat-Bulk.

The structure in POSCAR format:
```
LiRe2Mo
1.0
2.639 0.000 0.000
0.000 2.639 0.000
0.000 0.000 8.735
Li Mo Re
1 1 2
Direct
0.500 0.500 0.250
0.500 0.500 0.750
0.000 0.000 0.998
0.000 0.000 0.502
```

ΔE to the lowest computed polymorph (meV per atom): 292
Symmetry: No. 123
Formation energy from the elements (eV per atom): 0.47



The following is a PBE-GGA calculation of an optimized crystal structure of Ca3Pm2PaSb6, from Alexandria via LeMat-Bulk.

The structure in POSCAR format:
```
Ca3Pm2PaSb6
1.0
-1.062 7.644 -1.283
-0.953 -2.940 7.187
7.720 -0.357 -0.545
Ca Pm Pa Sb
3 2 1 6
Direct
0.171 0.829 0.500
0.829 0.171 0.500
0.500 0.500 0.500
0.334 0.666 0.000
0.666 0.334 0.000
0.000 0.000 0.000
0.920 0.597 0.761
0.758 0.758 0.242
0.080 0.403 0.239
0.597 0.920 0.761
0.242 0.242 0.758
0.403 0.080 0.239
```

Electronic total energy (eV/atom): -5.074
Symmetry: No. 12